Ta2HgP | PBE-GGA | optimized geometry

Energy relative to the lowest polymorph listed for this composition in eV per formula unit: 1.73
Volume in Å³/atom: 17.64
Symmetry: C2/m (12)
DFT formation energy in eV/atom: 0.29

Unit cell a=4.885 b=4.885 c=3.089 alpha=97.46 beta=97.46 gamma=102.00
Atoms (fractional coordinates):
Ta1 0.000 0.500 0.000
Ta2 0.500 0.000 0.000
Hg1 0.000 0.000 0.500
P1 0.500 0.500 0.500

Ta2HgP | PBE-GGA | optimized geometry

Energy relative to the lowest polymorph listed for this composition in eV per formula unit: 1.75
Volume in Å³/atom: 17.19
Symmetry: Fm-3m (225)
DFT formation energy in eV/atom: 0.30

Unit cell a=4.598 b=4.598 c=4.598 alpha=60.00 beta=60.00 gamma=60.00
Atoms (fractional coordinates):
Ta1 0.250 0.250 0.250
Ta2 0.750 0.750 0.750
Hg1 0.000 0.000 0.000
P1 0.500 0.500 0.500

Ta2HgP | PBE-GGA | optimized geometry

Energy relative to the lowest polymorph listed for this composition in eV per formula unit: 1.04
Volume in Å³/atom: 17.75
Symmetry: Imm2 (44)
DFT formation energy in eV/atom: 0.12

Unit cell a=5.610 b=5.610 c=5.610 alpha=146.74 beta=132.30 gamma=59.39
Atoms (fractional coordinates):
Ta1 0.000 0.000 0.000
Ta2 0.725 0.225 0.500
Hg1 0.445 0.445 0.000
P1 0.190 0.690 0.500

Ta2HgP | PBE-GGA | optimized geometry

Energy relative to the lowest polymorph listed for this composition in eV per formula unit: 1.08
Volume in Å³/atom: 18.93
Symmetry: Amm2 (38)
DFT formation energy in eV/atom: 0.13

Unit cell a=4.642 b=5.421 c=5.421 alpha=33.71 beta=90.00 gamma=90.00
Atoms (fractional coordinates):
Ta1 0.000 0.000 0.000
Ta2 0.500 0.358 0.358
Hg1 0.500 0.625 0.625
P1 0.000 0.306 0.306